# Dy2Ga8Ag

A relaxed Dy2Ga8Ag crystal (PBE-GGA, Alexandria).

The structure in extended XYZ format:
```
11
Lattice="4.367 0.000 0.000 0.000 4.367 0.000 0.000 0.000 11.354" Properties=species:S:1:pos:R:3 pbc="T T T"
Dy 0.000 0.000 2.116
Dy 0.000 0.000 9.238
Ga 0.000 2.184 0.000
Ga 0.000 2.184 4.149
Ga 0.000 2.184 7.205
Ga 2.184 0.000 0.000
Ga 2.184 0.000 4.149
Ga 2.184 0.000 7.205
Ga 2.184 2.184 2.145
Ga 2.184 2.184 9.209
Ag 0.000 0.000 5.677
```

Properties
magnetization	0.000	μB/atom
total energy	-40.25	eV per cell